! TcPdI3 GGA-PBE relaxed; values from VASP
&SYSTEM
  ibrav = 0, nat = 5, ntyp = 3
/
ATOMIC_SPECIES
Tc 98.00 Tc.upf
Pd 106.42 Pd.upf
I 126.90 I.upf
ATOMIC_POSITIONS crystal
Tc 0.000 0.000 0.000
Pd 0.500 0.500 0.500
I 0.000 0.000 0.500
I 0.000 0.500 0.000
I 0.500 0.000 0.000
CELL_PARAMETERS angstrom
5.502 0.000 0.000
0.000 5.502 0.000
0.000 0.000 5.502
! Excess energy over the best structure of this formula in the dataset   0.00 eV/f.u.
! ΔE_f (raw)   0.724 eV per atom
! Symmetry   No. 221
! Total magnetic moment   3.4 μB per cell

=====

! TcPdI3 GGA-PBE relaxed; values from VASP
&SYSTEM
  ibrav = 0, nat = 5, ntyp = 3
/
ATOMIC_SPECIES
Tc 98.00 Tc.upf
Pd 106.42 Pd.upf
I 126.90 I.upf
ATOMIC_POSITIONS crystal
Tc 0.000 0.000 0.000
Pd 0.500 0.500 0.500
I 0.000 0.500 0.500
I 0.500 0.000 0.500
I 0.500 0.500 0.000
CELL_PARAMETERS angstrom
5.483 0.000 0.000
0.000 5.483 0.000
0.000 0.000 5.483
! Excess energy over the best structure of this formula in the dataset   0.44 eV/f.u.
! ΔE_f (raw)   0.812 eV per atom
! Symmetry   No. 221
! Total magnetic moment   5.0 μB per cell

=====

! TcPd3I GGA-PBE relaxed; values from VASP
&SYSTEM
  ibrav = 0, nat = 5, ntyp = 3
/
ATOMIC_SPECIES
Tc 98.00 Tc.upf
Pd 106.42 Pd.upf
I 126.90 I.upf
ATOMIC_POSITIONS crystal
Tc 0.000 0.000 0.000
Pd 0.000 0.000 0.500
Pd 0.000 0.500 0.000
Pd 0.500 0.000 0.000
I 0.500 0.500 0.500
CELL_PARAMETERS angstrom
4.862 0.000 0.000
0.000 4.862 0.000
0.000 0.000 4.862
! Excess energy over the best structure of this formula in the dataset   0.00 eV/f.u.
! ΔE_f (raw)   1.070 eV per atom
! Symmetry   No. 221
! Total magnetic moment   0.0 μB per cell

=====

! TcPd3I GGA-PBE relaxed; values from VASP
&SYSTEM
  ibrav = 0, nat = 5, ntyp = 3
/
ATOMIC_SPECIES
Tc 98.00 Tc.upf
Pd 106.42 Pd.upf
I 126.90 I.upf
ATOMIC_POSITIONS crystal
Tc 0.000 0.000 0.000
Pd 0.000 0.500 0.500
Pd 0.500 0.000 0.500
Pd 0.500 0.500 0.000
I 0.500 0.500 0.500
CELL_PARAMETERS angstrom
4.929 0.000 0.000
0.000 4.929 0.000
0.000 0.000 4.929
! Excess energy over the best structure of this formula in the dataset   0.64 eV/f.u.
! ΔE_f (raw)   1.198 eV per atom
! Symmetry   No. 221
! Total magnetic moment   4.1 μB per cell

=====

! TcPdI6 GGA-PBE relaxed; values from VASP
&SYSTEM
  ibrav = 0, nat = 8, ntyp = 3
/
ATOMIC_SPECIES
Tc 98.00 Tc.upf
Pd 106.42 Pd.upf
I 126.90 I.upf
ATOMIC_POSITIONS crystal
Tc 0.000 0.000 0.000
Pd 0.500 0.500 0.500
I 0.111 0.420 0.257
I 0.205 0.205 0.789
I 0.420 0.111 0.257
I 0.580 0.889 0.743
I 0.795 0.795 0.211
I 0.889 0.580 0.743
CELL_PARAMETERS angstrom
3.772 -6.014 0.000
3.772 6.014 0.000
-3.531 0.000 6.781
! ΔE_f (raw)   -0.081 eV per atom
! Symmetry   No. 12
! Total magnetic moment   2.7 μB per cell

=====

! Te2Pd4I GGA-PBE relaxed; values from VASP
&SYSTEM
  ibrav = 0, nat = 7, ntyp = 3
/
ATOMIC_SPECIES
Te 127.60 Te.upf
Pd 106.42 Pd.upf
I 126.90 I.upf
ATOMIC_POSITIONS crystal
Te 0.119 0.119 0.000
Te 0.881 0.881 0.000
Pd 0.000 0.500 0.500
Pd 0.305 0.305 0.000
Pd 0.500 0.000 0.500
Pd 0.695 0.695 0.000
I 0.500 0.500 0.000
CELL_PARAMETERS angstrom
-2.580 2.580 6.796
2.580 -2.580 6.796
2.580 2.580 -6.796
! Excess energy over the best structure of this formula in the dataset   3.74 eV/f.u.
! ΔE_f (raw)   0.325 eV per atom
! Symmetry   No. 139
! Total magnetic moment   0.0 μB per cell

=====

! TePd2I2 GGA-PBE relaxed; values from VASP
&SYSTEM
  ibrav = 0, nat = 5, ntyp = 3
/
ATOMIC_SPECIES
Te 127.60 Te.upf
Pd 106.42 Pd.upf
I 126.90 I.upf
ATOMIC_POSITIONS crystal
Te 0.000 0.000 0.000
Pd 0.333 0.333 0.158
Pd 0.667 0.667 0.842
I 0.333 0.333 0.691
I 0.667 0.667 0.309
CELL_PARAMETERS angstrom
3.540 -2.038 0.000
3.540 2.038 0.000
-0.008 0.000 9.830
! ΔE_f (raw)   -0.239 eV per atom
! Symmetry   No. 12
! Total magnetic moment   0.0 μB per cell

=====

! TePd2I GGA-PBE relaxed; values from VASP
&SYSTEM
  ibrav = 0, nat = 4, ntyp = 3
/
ATOMIC_SPECIES
Te 127.60 Te.upf
Pd 106.42 Pd.upf
I 126.90 I.upf
ATOMIC_POSITIONS crystal
Te 0.000 0.000 0.000
Pd 0.367 0.367 0.367
Pd 0.633 0.633 0.633
I 0.500 0.500 0.500
CELL_PARAMETERS angstrom
2.237 1.292 6.767
-2.237 1.292 6.767
0.000 -2.583 6.767
! Excess energy over the best structure of this formula in the dataset   0.14 eV/f.u.
! ΔE_f (raw)   -0.138 eV per atom
! Symmetry   No. 166
! Total magnetic moment   0.0 μB per cell

=====

! Te2Pd4I GGA-PBE relaxed; values from VASP
&SYSTEM
  ibrav = 0, nat = 14, ntyp = 3
/
ATOMIC_SPECIES
Te 127.60 Te.upf
Pd 106.42 Pd.upf
I 126.90 I.upf
ATOMIC_POSITIONS crystal
Te 0.000 0.000 0.000
Te 0.143 0.358 0.447
Te 0.289 0.377 0.953
Te 0.688 0.766 0.997
Pd 0.216 0.641 0.518
Pd 0.304 0.923 0.789
Pd 0.329 0.559 0.178
Pd 0.362 0.927 0.165
Pd 0.810 0.797 0.304
Pd 0.969 0.429 0.742
Pd 0.972 0.815 0.766
Pd 0.997 0.315 0.151
I 0.528 0.707 0.579
I 0.737 0.171 0.373
CELL_PARAMETERS angstrom
7.466 0.000 0.000
3.592 6.651 0.000
0.285 3.900 6.493
! Excess energy over the best structure of this formula in the dataset   0.00 eV/f.u.
! ΔE_f (raw)   -0.208 eV per atom
! Symmetry   No. 1
! Total magnetic moment   0.0 μB per cell

=====

! TePd2I GGA-PBE relaxed; values from VASP
&SYSTEM
  ibrav = 0, nat = 8, ntyp = 3
/
ATOMIC_SPECIES
Te 127.60 Te.upf
Pd 106.42 Pd.upf
I 126.90 I.upf
ATOMIC_POSITIONS crystal
Te 0.000 0.000 0.000
Te 0.750 0.250 0.500
Pd 0.103 0.625 0.978
Pd 0.375 0.353 0.478
Pd 0.647 0.125 0.022
Pd 0.875 0.897 0.522
I 0.250 0.750 0.500
I 0.500 0.500 0.000
CELL_PARAMETERS angstrom
-3.256 3.256 5.372
3.256 -3.256 5.372
3.256 3.256 -5.372
! Excess energy over the best structure of this formula in the dataset   0.37 eV/f.u.
! ΔE_f (raw)   -0.079 eV per atom
! Symmetry   No. 122
! Total magnetic moment   0.0 μB per cell

=====

! Te6PdI12 GGA-PBE relaxed; values from VASP
&SYSTEM
  ibrav = 0, nat = 19, ntyp = 3
/
ATOMIC_SPECIES
Te 127.60 Te.upf
Pd 106.42 Pd.upf
I 126.90 I.upf
ATOMIC_POSITIONS crystal
Te 0.036 0.782 0.235
Te 0.218 0.765 0.964
Te 0.235 0.036 0.782
Te 0.765 0.964 0.218
Te 0.782 0.235 0.036
Te 0.964 0.218 0.765
Pd 0.500 0.500 0.500
I 0.060 0.218 0.408
I 0.218 0.408 0.060
I 0.253 0.638 0.445
I 0.362 0.555 0.747
I 0.408 0.060 0.218
I 0.445 0.253 0.638
I 0.555 0.747 0.362
I 0.592 0.940 0.782
I 0.638 0.445 0.253
I 0.747 0.362 0.555
I 0.782 0.592 0.940
I 0.940 0.782 0.592
CELL_PARAMETERS angstrom
5.466 3.156 11.339
-5.466 3.156 11.339
0.000 -6.312 11.339
! ΔE_f (raw)   0.083 eV per atom
! Symmetry   No. 148
! Total magnetic moment   0.0 μB per cell

=====

! Te2PdI2 GGA-PBE relaxed; values from VASP
&SYSTEM
  ibrav = 0, nat = 10, ntyp = 3
/
ATOMIC_SPECIES
Te 127.60 Te.upf
Pd 106.42 Pd.upf
I 126.90 I.upf
ATOMIC_POSITIONS crystal
Te 0.080 0.093 0.172
Te 0.420 0.593 0.013
Te 0.580 0.407 0.987
Te 0.920 0.907 0.828
Pd 0.250 0.250 0.000
Pd 0.750 0.750 0.000
I 0.185 0.764 0.949
I 0.315 0.264 0.579
I 0.685 0.736 0.421
I 0.815 0.236 0.051
CELL_PARAMETERS angstrom
-2.787 9.944 4.030
2.787 -9.944 4.030
2.787 9.944 -4.030
! Excess energy over the best structure of this formula in the dataset   0.00 eV/f.u.
! ΔE_f (raw)   -0.126 eV per atom
! Symmetry   No. 72
! Total magnetic moment   0.0 μB per cell